#1
A plane-wave DFT calculation with GGA-PBE was carried out for Y2ReW after structural relaxation.

Structure (CIF):
```
data_Y2ReW
_chemical_formula_sum 'Y2 Re1 W1'
_symmetry_space_group_name_H-M 'P 1 2/m 1'
_symmetry_Int_Tables_number 10
_symmetry_space_group_name_Hall '-P 2y'
_cell_length_a 2.9704
_cell_length_b 4.8621
_cell_length_c 5.7337
_cell_angle_alpha 90.00
_cell_angle_beta 102.09
_cell_angle_gamma 90.00
loop_
_atom_site_label
_atom_site_fract_x
_atom_site_fract_y
_atom_site_fract_z
Y1 0.2139 0.0000 0.2540
Re1 0.0000 0.5000 0.5000
W1 0.5000 0.5000 0.0000
```

=====

#2
A plane-wave DFT calculation with GGA-PBE was carried out for Y2ReW after structural relaxation.

Structure (CIF):
```
data_Y2ReW
_chemical_formula_sum 'Y4 Re2 W2'
_symmetry_space_group_name_H-M 'C m m m'
_symmetry_Int_Tables_number 65
_symmetry_space_group_name_Hall '-C 2 2'
_cell_length_a 5.7798
_cell_length_b 9.8312
_cell_length_c 2.8908
_cell_angle_alpha 90.00
_cell_angle_beta 90.00
_cell_angle_gamma 90.00
loop_
_atom_site_label
_atom_site_fract_x
_atom_site_fract_y
_atom_site_fract_z
Y1 0.2500 0.2500 0.0000
Re1 0.0000 0.0000 0.5000
W1 0.0000 0.5000 0.5000
```

=====

#3
A plane-wave DFT calculation with GGA-PBE was carried out for Y2ReW after structural relaxation.

Structure (CIF):
```
data_Y2ReW
_chemical_formula_sum 'Y2 Re1 W1'
_symmetry_space_group_name_H-M 'P 4/m m m'
_symmetry_Int_Tables_number 123
_symmetry_space_group_name_Hall '-P 4 2'
_cell_length_a 3.3449
_cell_length_b 3.3449
_cell_length_c 7.5720
_cell_angle_alpha 90.00
_cell_angle_beta 90.00
_cell_angle_gamma 90.00
loop_
_atom_site_label
_atom_site_fract_x
_atom_site_fract_y
_atom_site_fract_z
Y1 0.0000 0.0000 0.2355
Re1 0.5000 0.5000 0.0000
W1 0.5000 0.5000 0.5000
```

=====

Which of them is the most stable, and which is the least stable? #1 and #3, in that order.

=====

#1
A plane-wave DFT calculation with GGA-PBE was carried out for YReW2 after structural relaxation.

Structure (CIF):
```
data_YReW2
_chemical_formula_sum 'Y2 Re2 W4'
_symmetry_space_group_name_H-M 'I m m m'
_symmetry_Int_Tables_number 71
_symmetry_space_group_name_Hall '-I 2 2'
_cell_length_a 3.2197
_cell_length_b 4.6970
_cell_length_c 9.5198
_cell_angle_alpha 90.00
_cell_angle_beta 90.00
_cell_angle_gamma 90.00
loop_
_atom_site_label
_atom_site_fract_x
_atom_site_fract_y
_atom_site_fract_z
Y1 0.0000 0.0000 0.0000
Re1 0.0000 0.0000 0.5000
W1 0.0000 0.5000 0.2323
```

=====

#2
A plane-wave DFT calculation with GGA-PBE was carried out for YReW2 after structural relaxation.

Structure (CIF):
```
data_YReW2
_chemical_formula_sum 'Y2 Re2 W4'
_symmetry_space_group_name_H-M 'C m m 2'
_symmetry_Int_Tables_number 35
_symmetry_space_group_name_Hall 'C 2 -2'
_cell_length_a 3.2315
_cell_length_b 4.6698
_cell_length_c 9.4303
_cell_angle_alpha 90.00
_cell_angle_beta 90.00
_cell_angle_gamma 90.00
loop_
_atom_site_label
_atom_site_fract_x
_atom_site_fract_y
_atom_site_fract_z
Y1 0.0000 0.0000 0.0000
Re1 0.0000 0.5000 0.7331
W1 0.0000 0.0000 0.5091
W2 0.0000 0.5000 0.2795
```

=====

#3
A plane-wave DFT calculation with GGA-PBE was carried out for YReW2 after structural relaxation.

Structure (CIF):
```
data_YReW2
_chemical_formula_sum 'Y3 Re3 W6'
_symmetry_space_group_name_H-M 'R -3 m'
_symmetry_Int_Tables_number 166
_symmetry_space_group_name_Hall '-R 3 2"'
_cell_length_a 2.9626
_cell_length_b 2.9626
_cell_length_c 28.6386
_cell_angle_alpha 90.00
_cell_angle_beta 90.00
_cell_angle_gamma 120.00
loop_
_atom_site_label
_atom_site_fract_x
_atom_site_fract_y
_atom_site_fract_z
Y1 0.0000 0.0000 0.0000
Re1 0.0000 0.0000 0.5000
W1 0.0000 0.0000 0.2412
```

=====

#4
A plane-wave DFT calculation with GGA-PBE was carried out for YReW2 after structural relaxation.

Structure (CIF):
```
data_YReW2
_chemical_formula_sum 'Y2 Re2 W4'
_symmetry_space_group_name_H-M 'I 4/m m m'
_symmetry_Int_Tables_number 139
_symmetry_space_group_name_Hall '-I 4 2'
_cell_length_a 3.9131
_cell_length_b 3.9131
_cell_length_c 9.5266
_cell_angle_alpha 90.00
_cell_angle_beta 90.00
_cell_angle_gamma 90.00
loop_
_atom_site_label
_atom_site_fract_x
_atom_site_fract_y
_atom_site_fract_z
Y1 0.0000 0.0000 0.0000
Re1 0.0000 0.0000 0.5000
W1 0.0000 0.5000 0.2500
```

=====

Which of them is the most stable, and which is the least stable? #1 and #4, in that order.

=====

#1
A plane-wave DFT calculation with GGA-PBE was carried out for YReW2 after structural relaxation.

Structure (CIF):
```
data_YReW2
_chemical_formula_sum 'Y1 Re1 W2'
_symmetry_space_group_name_H-M 'P 4 m m'
_symmetry_Int_Tables_number 99
_symmetry_space_group_name_Hall 'P 4 -2'
_cell_length_a 3.1959
_cell_length_b 3.1959
_cell_length_c 7.2395
_cell_angle_alpha 90.00
_cell_angle_beta 90.00
_cell_angle_gamma 90.00
loop_
_atom_site_label
_atom_site_fract_x
_atom_site_fract_y
_atom_site_fract_z
Y1 0.0000 0.0000 0.0000
Re1 0.5000 0.5000 0.2897
W1 0.0000 0.0000 0.4922
W2 0.5000 0.5000 0.7065
```

=====

#2
A plane-wave DFT calculation with GGA-PBE was carried out for YReW2 after structural relaxation.

Structure (CIF):
```
data_YReW2
_chemical_formula_sum 'Y3 Re3 W6'
_symmetry_space_group_name_H-M 'R 3 m'
_symmetry_Int_Tables_number 160
_symmetry_space_group_name_Hall 'R 3 -2"'
_cell_length_a 2.9929
_cell_length_b 2.9929
_cell_length_c 28.1701
_cell_angle_alpha 90.00
_cell_angle_beta 90.00
_cell_angle_gamma 120.00
loop_
_atom_site_label
_atom_site_fract_x
_atom_site_fract_y
_atom_site_fract_z
Y1 0.0000 0.0000 0.0000
Re1 0.0000 0.0000 0.2426
W1 0.0000 0.0000 0.5040
W2 0.0000 0.0000 0.7589
```

=====

#3
A plane-wave DFT calculation with GGA-PBE was carried out for YReW2 after structural relaxation.

Structure (CIF):
```
data_YReW2
_chemical_formula_sum 'Y2 Re2 W4'
_symmetry_space_group_name_H-M 'C 1 2/m 1'
_symmetry_Int_Tables_number 12
_symmetry_space_group_name_Hall '-C 2y'
_cell_length_a 5.6451
_cell_length_b 9.3969
_cell_length_c 2.8003
_cell_angle_alpha 90.00
_cell_angle_beta 108.38
_cell_angle_gamma 90.00
loop_
_atom_site_label
_atom_site_fract_x
_atom_site_fract_y
_atom_site_fract_z
Y1 0.0000 0.0000 0.0000
Re1 0.0000 0.5000 0.0000
W1 0.2500 0.2500 0.5000
```

=====

#4
A plane-wave DFT calculation with GGA-PBE was carried out for YReW2 after structural relaxation.

Structure (CIF):
```
data_YReW2
_chemical_formula_sum 'Y1 Re1 W2'
_symmetry_space_group_name_H-M 'P 4/m m m'
_symmetry_Int_Tables_number 123
_symmetry_space_group_name_Hall '-P 4 2'
_cell_length_a 4.6745
_cell_length_b 4.6745
_cell_length_c 3.2261
_cell_angle_alpha 90.00
_cell_angle_beta 90.00
_cell_angle_gamma 90.00
loop_
_atom_site_label
_atom_site_fract_x
_atom_site_fract_y
_atom_site_fract_z
Y1 0.0000 0.0000 0.0000
Re1 0.5000 0.5000 0.0000
W1 0.0000 0.5000 0.5000
```

=====

Which of them is the most stable, and which is the least stable? #1 and #2, in that order.

=====

#1
A plane-wave DFT calculation with GGA-PBE was carried out for YReW2 after structural relaxation.

Structure (CIF):
```
data_YReW2
_chemical_formula_sum 'Y2 Re2 W4'
_symmetry_space_group_name_H-M 'C m m m'
_symmetry_Int_Tables_number 65
_symmetry_space_group_name_Hall '-C 2 2'
_cell_length_a 3.2345
_cell_length_b 4.6622
_cell_length_c 9.4973
_cell_angle_alpha 90.00
_cell_angle_beta 90.00
_cell_angle_gamma 90.00
loop_
_atom_site_label
_atom_site_fract_x
_atom_site_fract_y
_atom_site_fract_z
Y1 0.0000 0.0000 0.0000
Re1 0.0000 0.0000 0.5000
W1 0.0000 0.5000 0.2771
```

=====

#2
A plane-wave DFT calculation with GGA-PBE was carried out for YReW2 after structural relaxation.

Structure (CIF):
```
data_YReW2
_chemical_formula_sum 'Y4 Re4 W8'
_symmetry_space_group_name_H-M 'I -4 2 d'
_symmetry_Int_Tables_number 122
_symmetry_space_group_name_Hall 'I -4 2bw'
_cell_length_a 7.6234
_cell_length_b 7.6234
_cell_length_c 5.6123
_cell_angle_alpha 90.00
_cell_angle_beta 90.00
_cell_angle_gamma 90.00
loop_
_atom_site_label
_atom_site_fract_x
_atom_site_fract_y
_atom_site_fract_z
Y1 0.0000 0.0000 0.0000
Re1 0.0000 0.0000 0.5000
W1 0.1992 0.2500 0.6250
```

=====

#3
A plane-wave DFT calculation with GGA-PBE was carried out for YReW2 after structural relaxation.

Structure (CIF):
```
data_YReW2
_chemical_formula_sum 'Y4 Re4 W8'
_symmetry_space_group_name_H-M 'F -4 3 m'
_symmetry_Int_Tables_number 216
_symmetry_space_group_name_Hall 'F -4 2 3'
_cell_length_a 6.5623
_cell_length_b 6.5623
_cell_length_c 6.5623
_cell_angle_alpha 90.00
_cell_angle_beta 90.00
_cell_angle_gamma 90.00
loop_
_atom_site_label
_atom_site_fract_x
_atom_site_fract_y
_atom_site_fract_z
Y1 0.0000 0.0000 0.0000
Re1 0.2500 0.2500 0.7500
W1 0.0000 0.0000 0.5000
W2 0.2500 0.2500 0.2500
```

=====

Which of them is the most stable, and which is the least stable? #3 and #2, in that order.